No. 1
DFT (meta-GGA SCAN) results for a crystal of SiAs2HBr relaxed with PBEsol.

```
SiAs2HBr
1.0
4.707 0.000 0.000
0.000 4.707 0.000
0.000 0.000 5.219
H As Br Si
1 2 1 1
Direct
0.500 0.500 0.500
0.000 0.500 0.000
0.500 0.000 0.000
0.000 0.000 0.500
0.000 0.000 0.000
```

Properties
E_tot = -13.6698 eV per atom
Calculated density = 3.717 g/cm3
Volume = 23.1 A^3/atom


No. 2
DFT (meta-GGA SCAN) results for a crystal of TcAs2HBr relaxed with PBEsol.

```
TcAs2HBr
1.0
-3.626 2.722 1.035
-2.908 -3.296 -1.518
-0.181 -2.137 4.987
H As Br Tc
1 2 1 1
Direct
0.500 0.500 0.500
0.000 0.500 0.000
0.500 0.000 0.000
0.000 0.000 0.500
0.000 0.000 0.000
```

Properties
E_tot = -18.9477 eV per atom
Calculated density = 4.650 g/cm3
Volume = 23.5 A^3/atom


No. 3
DFT (meta-GGA SCAN) results for a crystal of HfAsBr2N relaxed with PBEsol.

```
HfAsBr2N
1.0
-0.723 3.356 -3.888
-0.857 -3.960 -3.259
-5.077 0.188 1.106
Br Hf N As
2 1 1 1
Direct
0.000 0.500 0.000
0.000 0.000 0.500
0.000 0.000 0.000
0.500 0.500 0.500
0.500 0.000 0.000
```

Properties
Formation energy without anion corrections = 0.407 eV/atom
E_tot = -25.8081 eV per atom
Calculated density = 5.059 g/cm3
Volume = 28.0 A^3/atom


No. 4
DFT (meta-GGA SCAN) results for a crystal of HfAs2PbBr relaxed with PBEsol.

```
HfAs2PbBr
1.0
-1.363 -4.143 2.723
4.707 -1.967 -0.638
1.555 2.323 4.313
As Br Hf Pb
2 1 1 1
Direct
0.500 0.000 0.000
0.000 0.500 0.000
0.000 0.000 0.500
0.000 0.000 0.000
0.500 0.500 0.500
```

Properties
Formation energy without anion corrections = -0.229 eV/atom
E_tot = -39.8880 eV per atom
Calculated density = 7.522 g/cm3
Volume = 27.2 A^3/atom